No. 1
First-principles (PBE) data for an optimized crystal structure of ZrTa3, as listed in Alexandria. Values from VASP.

Computed properties:
Its density of states at the Fermi level is 6.8 states/eV/f.u. As for the formation energy: 0.282 eV/atom. The total moment comes out at 0.00 μB/f.u. Its crystal system is cubic. Its relative energy among the computed polymorphs is 0.80 eV/f.u.

Quantum ESPRESSO input file:
```
&SYSTEM
  ibrav = 0, nat = 4, ntyp = 2
/
ATOMIC_SPECIES
Zr 91.22 Zr.upf
Ta 180.95 Ta.upf
CELL_PARAMETERS angstrom
4.294 0.000 0.000
0.000 4.294 0.000
0.000 0.000 4.294
ATOMIC_POSITIONS angstrom
Zr 0.000 0.000 0.000
Ta 0.000 2.147 2.147
Ta 2.147 0.000 2.147
Ta 2.147 2.147 0.000
```



No. 2
First-principles (PBE) data for an optimized crystal structure of Pm8YEr2, as listed in Alexandria. Values from VASP.

Computed properties:
Its density of states at the Fermi level is 15.7 states/eV/f.u. As for the formation energy: 0.211 eV/atom. The total moment comes out at 0.00 μB/f.u. Its crystal system is monoclinic. Its relative energy among the computed polymorphs is 0.62 eV/f.u.

Quantum ESPRESSO input file:
```
&SYSTEM
  ibrav = 0, nat = 11, ntyp = 3
/
ATOMIC_SPECIES
Pm 145.00 Pm.upf
Y 88.91 Y.upf
Er 167.26 Er.upf
CELL_PARAMETERS angstrom
7.124 -3.388 0.000
7.124 3.388 0.000
-3.564 0.000 7.846
ATOMIC_POSITIONS angstrom
Pm -1.994 0.000 7.792
Pm 3.603 1.756 4.842
Pm 0.658 0.000 6.080
Pm 7.082 1.756 3.003
Pm 3.603 -1.756 4.842
Pm 10.026 0.000 1.765
Pm 7.082 -1.756 3.003
Pm 12.678 0.000 0.054
Y 7.124 0.000 0.000
Er 4.199 0.000 1.911
Er 6.485 0.000 5.935
```



No. 3
First-principles (PBE) data for an optimized crystal structure of Pa3NbN4, as listed in Alexandria. Values from VASP.

Computed properties:
Its density of states at the Fermi level is 5.0 states/eV/f.u. The total moment comes out at 0.00 μB/f.u. The uncorrected formation energy is -1470 meV per atom. Its crystal system is monoclinic.

Quantum ESPRESSO input file:
```
&SYSTEM
  ibrav = 0, nat = 16, ntyp = 3
/
ATOMIC_SPECIES
Pa 231.04 Pa.upf
Nb 92.91 Nb.upf
N 14.01 N.upf
CELL_PARAMETERS angstrom
5.884 0.000 0.000
0.000 6.829 0.000
-2.015 0.000 5.598
ATOMIC_POSITIONS angstrom
Pa -0.504 0.823 1.400
Pa -1.512 2.537 4.199
Pa -0.504 4.292 1.400
Pa -1.512 6.006 4.199
Pa 2.438 2.522 1.400
Pa 1.430 4.307 4.199
Nb 1.430 0.899 4.199
Nb 2.438 5.930 1.400
N 0.500 2.503 2.839
N 1.507 4.326 0.040
N 1.575 0.785 0.011
N 0.567 6.044 2.810
N 3.301 0.785 2.788
N 2.293 6.044 5.587
N 2.361 2.503 5.558
N 3.369 4.326 2.759
```



No. 4
First-principles (PBE) data for an optimized crystal structure of SrScSN2, as listed in Alexandria. Values from VASP.

Computed properties:
Its density of states at the Fermi level is 2.8 states/eV/f.u. The total moment comes out at 2.88 μB/f.u. The uncorrected formation energy is -459 meV per atom. Its crystal system is tetragonal. Its relative energy among the computed polymorphs is 0.00 eV/f.u.

Quantum ESPRESSO input file:
```
&SYSTEM
  ibrav = 0, nat = 5, ntyp = 4
/
ATOMIC_SPECIES
Sr 87.62 Sr.upf
Sc 44.96 Sc.upf
S 32.06 S.upf
N 14.01 N.upf
CELL_PARAMETERS angstrom
4.311 0.000 0.000
0.000 4.311 0.000
0.000 0.000 5.056
ATOMIC_POSITIONS angstrom
Sr 0.000 0.000 0.000
Sc 2.156 2.156 2.528
S 2.156 2.156 0.000
N 0.000 2.156 2.528
N 2.156 0.000 2.528
```



No. 5
First-principles (PBE) data for an optimized crystal structure of Cd2BiIrPb, as listed in Alexandria. Values from VASP.

Computed properties:
Its density of states at the Fermi level is 2.8 states/eV/f.u. As for the formation energy: 0.992 eV/atom. The total moment comes out at 0.00 μB/f.u. Its crystal system is tetragonal.

Quantum ESPRESSO input file:
```
&SYSTEM
  ibrav = 0, nat = 5, ntyp = 4
/
ATOMIC_SPECIES
Cd 112.41 Cd.upf
Bi 208.98 Bi.upf
Ir 192.22 Ir.upf
Pb 207.20 Pb.upf
CELL_PARAMETERS angstrom
5.473 0.000 0.000
0.000 5.473 0.000
0.000 0.000 5.108
ATOMIC_POSITIONS angstrom
Cd 0.000 2.736 0.000
Cd 2.736 0.000 0.000
Bi 0.000 0.000 2.554
Ir 2.736 2.736 2.554
Pb 2.736 2.736 0.000
```



No. 6
First-principles (PBE) data for an optimized crystal structure of Y2MnZn, as listed in Alexandria. Values from VASP.

Computed properties:
Its density of states at the Fermi level is 4.5 states/eV/f.u. As for the formation energy: 0.499 eV/atom. The total moment comes out at 0.00 μB/f.u. Its crystal system is tetragonal.

Quantum ESPRESSO input file:
```
&SYSTEM
  ibrav = 0, nat = 16, ntyp = 3
/
ATOMIC_SPECIES
Y 88.91 Y.upf
Mn 54.94 Mn.upf
Zn 65.41 Zn.upf
CELL_PARAMETERS angstrom
7.598 0.000 0.000
0.000 7.598 0.000
0.000 0.000 6.080
ATOMIC_POSITIONS angstrom
Y 1.688 1.900 0.760
Y 1.900 5.487 2.280
Y 1.900 5.910 5.320
Y 2.111 1.900 3.800
Y 5.487 5.699 3.800
Y 5.699 1.688 5.320
Y 5.699 2.111 2.280
Y 5.910 5.699 0.760
Mn 0.000 0.000 0.000
Mn 0.000 3.799 1.520
Mn 3.799 0.000 4.560
Mn 3.799 3.799 3.040
Zn 0.000 0.000 3.040
Zn 0.000 3.799 4.560
Zn 3.799 0.000 1.520
Zn 3.799 3.799 0.000
```



Number 1: volume 19.8 Å³/atom. Number 2: volume 34.4 Å³/atom. Number 3: volume 14.1 Å³/atom. Number 4: volume 18.8 Å³/atom. Number 5: volume 30.6 Å³/atom. Number 6: volume 21.9 Å³/atom.